[1]
Ac6TbPr3 (GGA-PBE, relaxed); Fermi-level density of states = 17.7 states/eV/f.u.; M_tot = 0.00 μB per formula unit; formation enthalpy at 0 K = 0.200 eV/atom; symmetry = C2/m
1.0
6.8363 0.0000 -2.7746
-0.9090 9.6623 -2.2396
-1.1656 -0.6732 6.9373
Pr Ac Tb
3 6 1
direct
0.0542 0.6665 0.1084
0.0000 0.0000 0.0000
0.9458 0.3335 0.8916
0.6269 0.9143 0.2538
0.3731 0.0857 0.7462
0.5539 0.7008 0.6097
0.4461 0.2992 0.3903
0.9442 0.2992 0.3903
0.0558 0.7008 0.6097
0.5000 0.5000 0.0000

[2]
PaBiAs2 (GGA-PBE, relaxed); Fermi-level density of states = 3.9 states/eV/f.u.; M_tot = 0.31 μB per formula unit; formation enthalpy at 0 K = -0.408 eV/atom; symmetry = P4/mmm; energy relative to the lowest polymorph listed for this composition = 0.0 meV/atom
1.0
3.9013 0.0000 0.0000
0.0000 4.8499 0.0000
0.0000 0.0000 4.8499
Pa Bi As
1 1 2
direct
0.5000 0.0000 0.0000
0.5000 0.5000 0.5000
0.0000 0.0000 0.5000
0.0000 0.5000 0.0000

[3]
EuTm2Th (GGA-PBE, relaxed); Fermi-level density of states = 6.4 states/eV/f.u.; M_tot = 7.03 μB per formula unit; formation enthalpy at 0 K = 0.182 eV/atom; symmetry = Fm-3m; energy relative to the lowest polymorph listed for this composition = 134.8 meV/atom
1.0
5.7039 0.0000 0.0000
2.8519 4.9397 0.0000
2.8519 1.6466 4.6572
Eu Tm Th
1 2 1
direct
0.0000 0.0000 0.0000
0.7500 0.7500 0.7500
0.2500 0.2500 0.2500
0.5000 0.5000 0.5000